DFT (PBE+U) results for a relaxed Na6CoF8 crystal.

Cell: 6.6031 6.6031 6.6031 Å, 60.00 60.00 60.00°
Fractional positions:
Na (0.0000, 0.0000, 0.5000)
Na (0.0000, 0.5000, 0.0000)
Na (0.0000, 0.5000, 0.5000)
Na (0.5000, 0.0000, 0.0000)
Na (0.5000, 0.0000, 0.5000)
Na (0.5000, 0.5000, 0.0000)
Co (0.0000, 0.0000, 0.0000)
F (0.2214, 0.2214, 0.7786)
F (0.2214, 0.7786, 0.2214)
F (0.2214, 0.7786, 0.7786)
F (0.2500, 0.2500, 0.2500)
F (0.7500, 0.7500, 0.7500)
F (0.7786, 0.2214, 0.2214)
F (0.7786, 0.2214, 0.7786)
F (0.7786, 0.7786, 0.2214)

Results
- ρ (Mg/m³) = 2.8
- energy (eV per cell) = -66.33
- V (A^3/atom) = 13.57
- total moment (μB per cell) = 3.0